Record 1
Material: MgOsCl2
Method: DFT, PBE-GGA
State: optimized geometry

Lattice parameters (Å, degrees): 3.1699 3.1699 9.3256 90.00 90.00 120.82
Closest atoms and distances in Å follow each position.
Sites, in units of the cell vectors:
1 Mg 0.0000 0.0000 0.4999  2 Cl 2.33
2 Cl 0.0000 0.0000 0.9368  2 Os 2.35
3 Cl 0.5000 0.5000 0.3151  2 Mg 2.33
4 Os 0.5000 0.5000 0.7482  2 Cl 2.35

## Properties
Total DFT energy (no corrections)   -16.7 eV per formula unit
Raw formation energy   -0.0492 eV per atom
Total magnetic moment   0.001 μB/cell
Density of states at the Fermi level   0.804 states/eV/atom
Crystal system   orthorhombic
Space-group type   Cmm2, No. 35

Record 2
Material: FeCuTc2
Method: DFT, PBE-GGA
State: optimized geometry

Lattice parameters (Å, degrees): 4.2097 4.2097 4.2097 60.00 60.00 60.00
Closest atoms and distances in Å follow each position.
Sites, in units of the cell vectors:
1 Tc 0.2500 0.2500 0.2500  4 Cu 2.58, 4 Fe 2.58
2 Tc 0.7500 0.7500 0.7500  4 Fe 2.58, 4 Cu 2.58
3 Fe 0.0000 0.0000 0.0000  8 Tc 2.58
4 Cu 0.5000 0.5000 0.5000  8 Tc 2.58

## Properties
Total DFT energy (no corrections)   -32.1 eV per formula unit
Total magnetic moment   1.975 μB/cell
Density of states at the Fermi level   1.000 states/eV/atom
Crystal system   cubic
Energy of formation   1.177 eV/f.u.
Space-group type   Fm-3m, No. 225

Record 3
Material: PaAgBO5
Method: DFT, PBE-GGA
State: optimized geometry

Lattice parameters (Å, degrees): 5.6369 5.6369 8.1610 108.15 108.15 97.24
Closest atoms and distances in Å follow each position.
Sites, in units of the cell vectors:
1 B 0.6769 0.3231 0.2500  4 O 1.47-1.50
2 B 0.3231 0.6769 0.7500  4 O 1.47-1.50
3 O 0.7213 0.1686 0.3676  1 B 1.47
4 O 0.8314 0.2787 0.1324  1 B 1.47
5 O 0.6031 0.7349 0.8669  1 B 1.50
6 O 0.9038 0.0962 0.7500  1 Ag 2.13, 2 Pa 2.20
7 O 0.1686 0.7213 0.8676  1 B 1.47
8 O 0.0962 0.9038 0.2500  1 Ag 2.13, 2 Pa 2.20
9 O 0.3969 0.2651 0.1331  1 B 1.50
10 O 0.7349 0.6031 0.3669  1 B 1.50
11 O 0.2787 0.8314 0.6324  1 B 1.47
12 O 0.2651 0.3969 0.6331  1 B 1.50
13 Ag 0.6515 0.3485 0.7500  3 O 2.13-2.18
14 Ag 0.3485 0.6515 0.2500  3 O 2.13-2.18
15 Pa 0.0000 0.0000 0.0000  6 O 2.12-2.25
16 Pa 0.0000 0.0000 0.5000  6 O 2.12-2.25

## Properties
Total DFT energy (no corrections)   -61.7 eV per formula unit
Raw formation energy   -2.2300 eV per atom
Total magnetic moment   1.920 μB/cell
Density of states at the Fermi level   0.319 states/eV/atom
Crystal system   monoclinic
Space-group type   C2/c, No. 15

Record 4
Material: LaMg2Mn3S8
Method: DFT, PBE-GGA
State: optimized geometry

Lattice parameters (Å, degrees): 7.6295 7.6295 7.6295 58.03 58.03 58.03
Closest atoms and distances in Å follow each position.
Sites, in units of the cell vectors:
1 S 0.2385 0.2385 0.7164  2 Mn 2.42, 1 Mg 2.48
2 S 0.7615 0.2836 0.7615  2 Mn 2.42, 1 Mg 2.48
3 S 0.2385 0.7164 0.2385  2 Mn 2.42, 1 Mg 2.48
4 S 0.2534 0.2534 0.2534  1 Mg 2.50, 3 Mn 2.62
5 S 0.7164 0.2385 0.2385  2 Mn 2.42, 1 Mg 2.48
6 S 0.7466 0.7466 0.7466  1 Mg 2.50, 3 Mn 2.62
7 S 0.2836 0.7615 0.7615  2 Mn 2.42, 1 Mg 2.48
8 S 0.7615 0.7615 0.2836  2 Mn 2.42, 1 Mg 2.48
9 La 0.5000 0.5000 0.5000  6 S 2.82
10 Mg 0.8784 0.8784 0.8784  4 S 2.48-2.50
11 Mg 0.1216 0.1216 0.1216  4 S 2.48-2.50
12 Mn 0.0000 0.5000 0.5000  6 S 2.42-2.62
13 Mn 0.5000 0.5000 0.0000  6 S 2.42-2.62
14 Mn 0.5000 0.0000 0.5000  6 S 2.42-2.62

## Properties
Total DFT energy (no corrections)   -82.3 eV per formula unit
Raw formation energy   -0.9771 eV per atom
Total magnetic moment   12.005 μB/cell
Density of states at the Fermi level   0.319 states/eV/atom
Crystal system   trigonal
Space-group type   R-3m, No. 166

Record 5
Material: LaDy4Y3
Method: DFT, PBE-GGA
State: optimized geometry

Lattice parameters (Å, degrees): 3.4496 8.9022 8.9023 82.18 78.88 78.88
Closest atoms and distances in Å follow each position.
Sites, in units of the cell vectors:
1 Dy 0.3645 0.8840 0.3855  3 Y 3.32-3.68, 1 La 3.42, 5 Dy 3.45-3.50
2 Dy 0.6355 0.1160 0.6145  3 Y 3.32-3.68, 1 La 3.42, 5 Dy 3.45-3.50
3 Dy 0.6355 0.6146 0.1160  3 Y 3.32-3.68, 1 La 3.42, 5 Dy 3.45-3.50
4 Dy 0.3645 0.3854 0.8840  3 Y 3.32-3.68, 1 La 3.42, 5 Dy 3.45-3.50
5 Y 0.2426 0.7570 0.7569  6 Dy 3.32-3.68, 2 Y 3.45, 2 La 3.59
6 Y 0.7574 0.2430 0.2431  6 Dy 3.32-3.68, 2 Y 3.45, 2 La 3.59
7 Y 0.0000 0.5000 0.5000  6 Y 3.45-3.76, 8 Dy 3.81
8 La 0.5000 0.0000 0.0000  4 Dy 3.42, 2 La 3.45, 4 Y 3.59

## Properties
Total DFT energy (no corrections)   -41.6 eV per formula unit
Total magnetic moment   0.000 μB/cell
Density of states at the Fermi level   1.897 states/eV/atom
Crystal system   monoclinic
Energy of formation   1.085 eV/f.u.
Space-group type   C2/m, No. 12

Record 6
Material: ScH2Au2
Method: DFT, PBE-GGA
State: optimized geometry

Lattice parameters (Å, degrees): 5.8056 5.8056 3.9283 90.00 90.00 90.00
Closest atoms and distances in Å follow each position.
Sites, in units of the cell vectors:
1 Sc 0.0000 0.0000 0.0000  4 H 2.16
2 Sc 0.5000 0.5000 0.0000  4 H 2.16
3 H 0.3301 0.1699 0.0000  2 Au 1.96, 2 Sc 2.16
4 H 0.6699 0.8301 0.0000  2 Au 1.96, 2 Sc 2.16
5 H 0.1699 0.6699 0.0000  2 Au 1.96, 2 Sc 2.16
6 H 0.8301 0.3301 0.0000  2 Au 1.96, 2 Sc 2.16
7 Au 0.6727 0.8273 0.5000  2 H 1.96
8 Au 0.1727 0.6727 0.5000  2 H 1.96
9 Au 0.3273 0.1727 0.5000  2 H 1.96
10 Au 0.8273 0.3273 0.5000  2 H 1.96

## Properties
Total DFT energy (no corrections)   -21.2 eV per formula unit
Total magnetic moment   0.000 μB/cell
Density of states at the Fermi level   0.239 states/eV/atom
Crystal system   tetragonal
Space-group type   P4/mbm, No. 127